Material: La2PmTmTh
Method: DFT, GGA-PBE
State: optimized geometry

Properties
The calculation puts the raw total energy at -4.992 eV/atom. The value obtained for the total magnetization is 0.00 Bohr magnetons per cell. The crystal system is monoclinic. The calculation puts the volume at 180 Å³/f.u.

Cell lengths 9.2105, 6.3616, 6.5495 Å; angles 90.00, 110.46, 90.00 degrees
With the nearest neighbours (Å) after each atom.
Space group P2/c (No. 13)
Symmetry-distinct sites (fractional):
1 La 0.1855 0.1922 0.3424  1 La 3.20, 1 Th 3.35, 2 Tm 3.39-3.40, 1 Pm 3.40
2 Pm 0.0000 0.3364 0.7500  8 La 3.40-3.77
3 Tm 0.5000 0.0010 0.7500  2 Tm 3.27, 4 La 3.39-3.40, 4 Th 3.57-3.58
4 Th 0.5000 0.5000 0.0000  2 Th 3.27, 2 La 3.35, 4 Tm 3.57-3.58

Material: La2Pm2Y4Th
Method: DFT, GGA-PBE
State: optimized geometry

Properties
The calculation puts the raw total energy at -5.849 eV/atom. The value obtained for the total magnetization is 0.00 Bohr magnetons per cell. The crystal system is monoclinic. The calculation puts the volume at 303 Å³/f.u.

Cell lengths 19.0607, 3.6516, 9.7011 Å; angles 90.00, 116.02, 90.00 degrees
With the nearest neighbours (Å) after each atom.
Space group C2/m (No. 12)
Symmetry-distinct sites (fractional):
1 La 0.1629 0.0000 0.0030  3 Y 3.54-3.58, 2 Th 3.59, 3 Pm 3.64-3.66, 4 La 3.65-3.81
2 Pm 0.1474 0.5000 0.6633  7 Y 3.53-3.70, 3 La 3.64-3.66, 2 Pm 3.65
3 Y 0.0187 0.0000 0.3276  1 La 3.54, 2 Th 3.55, 4 Pm 3.60-3.69, 5 Y 3.60-3.71
4 Y 0.1831 0.5000 0.3353  3 Pm 3.53-3.70, 2 La 3.58, 1 Th 3.58, 6 Y 3.59-3.65
5 Th 0.0000 0.5000 0.0000  6 Y 3.55-3.58, 4 La 3.59, 2 Th 3.65

Material: La3Pm2Y6Th
Method: DFT, GGA-PBE
State: optimized geometry

Properties
The calculation puts the raw total energy at -5.855 eV/atom. The value obtained for the total magnetization is 0.00 Bohr magnetons per cell. The crystal system is monoclinic. The calculation puts the volume at 403 Å³/f.u.

Cell lengths 6.3043, 10.9162, 11.9073 Å; angles 90.00, 100.18, 90.00 degrees
With the nearest neighbours (Å) after each atom.
Space group C2/m (No. 12)
Symmetry-distinct sites (fractional):
1 La 0.0000 0.0000 0.0000  6 La 3.63-3.64, 6 Y 3.64-3.66
2 La 0.0000 0.3326 0.0000  6 La 3.63-3.65, 6 Y 3.64-3.66
3 Pm 0.0000 0.1667 0.5000  6 Y 3.57, 3 Th 3.64, 3 Pm 3.64
4 Y 0.2467 0.3351 0.7457  1 Th 3.55, 2 Pm 3.57, 6 Y 3.60-3.66, 3 La 3.64-3.66
5 Y 0.2477 0.5000 0.2542  1 Th 3.55, 2 Pm 3.57, 6 Y 3.60-3.66, 3 La 3.64-3.66
6 Th 0.0000 0.5000 0.5000  6 Y 3.55, 6 Pm 3.64

Material: LaPmYTh2
Method: DFT, GGA-PBE
State: optimized geometry

Properties
The calculation puts the raw total energy at -5.838 eV/atom. The value obtained for the total magnetization is 0.00 Bohr magnetons per cell. The crystal system is orthorhombic. The calculation puts the volume at 181 Å³/f.u.

Cell lengths 6.7446, 15.8813, 6.7632 Å; angles 90.00, 90.00, 90.00 degrees
With the nearest neighbours (Å) after each atom.
Space group Cmcm (No. 63)
Symmetry-distinct sites (fractional):
1 La 0.0000 0.2406 0.2500  4 Y 3.67-3.78, 4 Pm 3.67-3.80
2 Pm 0.0000 0.3501 0.7500  1 Y 3.16, 4 Th 3.38
3 Y 0.0000 0.1513 0.7500  1 Pm 3.16, 4 Th 3.38
4 Th 0.2479 0.0000 0.0000  4 Th 3.34-3.40, 2 Pm 3.38, 2 Y 3.38

Material: La5PmY2Th
Method: DFT, GGA-PBE
State: optimized geometry

Properties
The calculation puts the raw total energy at -5.399 eV/atom. The value obtained for the total magnetization is 0.00 Bohr magnetons per cell. The crystal system is orthorhombic. The calculation puts the volume at 325 Å³/f.u.

Cell lengths 5.5370, 21.9779, 10.6878 Å; angles 90.00, 90.00, 90.00 degrees
With the nearest neighbours (Å) after each atom.
Space group Cmcm (No. 63)
Symmetry-distinct sites (fractional):
1 La 0.0000 0.0000 0.0000  2 Pm 3.49, 4 Y 3.72, 6 La 3.85-3.86
2 La 0.0000 0.1266 0.2500  1 Th 3.47, 4 La 3.86-3.88
3 La 0.0000 0.2234 0.5583  2 La 3.25, 1 Pm 3.37, 3 Th 3.45-3.56
4 La 0.0000 0.4971 0.7500  2 Pm 3.60, 4 Y 3.63-3.66, 6 La 3.85-3.88
5 Pm 0.0000 0.1019 0.7500  6 La 3.37-3.60, 2 Th 3.73
6 Y 0.0000 0.3873 0.0079  1 Th 3.43, 7 La 3.63-3.73, 2 Pm 3.80
7 Th 0.0000 0.2845 0.2500  2 Y 3.43, 7 La 3.45-3.56, 2 Pm 3.73

Material: La3PmY6Th2
Method: DFT, GGA-PBE
State: optimized geometry

Properties
The calculation puts the raw total energy at -6.075 eV/atom. The value obtained for the total magnetization is 0.00 Bohr magnetons per cell. The crystal system is monoclinic. The calculation puts the volume at 401 Å³/f.u.

Cell lengths 6.2897, 10.8923, 11.8852 Å; angles 90.00, 100.19, 90.00 degrees
With the nearest neighbours (Å) after each atom.
Space group C2/m (No. 12)
Symmetry-distinct sites (fractional):
1 La 0.0000 0.0000 0.0000  6 La 3.63-3.64, 6 Y 3.64-3.67
2 La 0.0000 0.3340 0.0000  6 La 3.62-3.64, 6 Y 3.65-3.67
3 Pm 0.0000 0.5000 0.5000  6 Y 3.55-3.56, 6 Th 3.63
4 Y 0.2433 0.0000 0.7436  2 Th 3.53, 1 Pm 3.56, 6 Y 3.61-3.68, 3 La 3.64-3.66
5 Y 0.2500 0.1689 0.2565  2 Th 3.53, 1 Pm 3.55, 6 Y 3.61-3.68, 3 La 3.65-3.67
6 Th 0.0000 0.1666 0.5000  6 Y 3.53, 3 Th 3.63, 3 Pm 3.63

Material: La2PmYTh
Method: DFT, GGA-PBE
State: optimized geometry

Properties
The calculation puts the raw total energy at -5.642 eV/atom. The value obtained for the total magnetization is 0.00 Bohr magnetons per cell. The crystal system is monoclinic. The calculation puts the volume at 175 Å³/f.u.

Cell lengths 6.3706, 5.9073, 9.8097 Å; angles 90.00, 108.85, 90.00 degrees
With the nearest neighbours (Å) after each atom.
Space group P2_1/m (No. 11)
Symmetry-distinct sites (fractional):
1 La 0.0691 0.2500 0.3144  4 Th 3.51-3.67, 3 Y 3.52-3.62, 2 Pm 3.67-3.81, 3 La 3.68-3.93
2 La 0.1387 0.7500 0.1087  4 Pm 3.67-3.80, 2 Y 3.68, 5 La 3.68-3.93, 1 Th 3.70
3 Pm 0.4768 0.2500 0.1027  1 Th 3.63, 2 Pm 3.64, 3 Y 3.65-3.80, 6 La 3.67-3.81
4 Y 0.2626 0.2500 0.6935  5 La 3.52-3.68, 4 Th 3.58-3.79, 3 Pm 3.65-3.80
5 Th 0.3560 0.7500 0.5069  2 Th 3.50, 5 La 3.51-3.70, 4 Y 3.58-3.79, 1 Pm 3.63

Material: La5Pm2YTh
Method: DFT, GGA-PBE
State: optimized geometry

Properties
The calculation puts the raw total energy at -5.214 eV/atom. The value obtained for the total magnetization is 0.00 Bohr magnetons per cell. The crystal system is orthorhombic. The calculation puts the volume at 326 Å³/f.u.

Cell lengths 5.5633, 22.0624, 10.6380 Å; angles 90.00, 90.00, 90.00 degrees
With the nearest neighbours (Å) after each atom.
Space group Cmcm (No. 63)
Symmetry-distinct sites (fractional):
1 La 0.0000 0.0000 0.0000  2 Y 3.50, 4 Pm 3.72, 6 La 3.85-3.91
2 La 0.0000 0.1297 0.2500  1 Th 3.53, 4 La 3.89-3.91, 4 Pm 3.90
3 La 0.0000 0.2245 0.5583  2 La 3.25, 1 Y 3.37, 3 Th 3.46-3.58
4 La 0.0000 0.5003 0.2500  2 Y 3.59, 4 Pm 3.60-3.66, 6 La 3.85-3.99
5 Pm 0.0000 0.3880 0.0039  1 Th 3.40, 7 La 3.60-3.77
6 Y 0.0000 0.1028 0.7500  6 La 3.37-3.59, 2 Th 3.66
7 Th 0.0000 0.2895 0.2500  2 Pm 3.40, 7 La 3.46-3.58, 2 Y 3.66

Material: La6Pm2YTh
Method: DFT, GGA-PBE
State: optimized geometry

Properties
The calculation puts the raw total energy at -5.103 eV/atom. The value obtained for the total magnetization is 0.00 Bohr magnetons per cell. The crystal system is monoclinic. The calculation puts the volume at 357 Å³/f.u.

Cell lengths 11.6090, 6.9758, 9.2908 Å; angles 90.00, 108.53, 90.00 degrees
With the nearest neighbours (Å) after each atom.
Space group C2/m (No. 12)
Symmetry-distinct sites (fractional):
1 La 0.1256 0.0000 0.4143  1 Th 3.66, 5 La 3.72-3.94, 2 Y 3.96, 2 Pm 4.08
2 La 0.1975 0.2638 0.8074  2 Pm 3.21-3.59, 2 La 3.30-3.40, 1 Y 3.46
3 Pm 0.0716 0.5000 0.1734  1 Pm 3.12, 2 La 3.21, 1 Y 3.39
4 Y 0.0000 0.5000 0.5000  2 Pm 3.39, 4 La 3.46
5 Th 0.0000 0.0000 0.0000  10 La 3.66-3.80, 4 Pm 3.82

Material: LaPmY3Th
Method: DFT, GGA-PBE
State: optimized geometry

Properties
The calculation puts the raw total energy at -6.054 eV/atom. The value obtained for the total magnetization is 0.00 Bohr magnetons per cell. The crystal system is monoclinic. The calculation puts the volume at 201 Å³/f.u.

Cell lengths 10.7986, 3.6152, 10.8859 Å; angles 90.00, 109.02, 90.00 degrees
With the nearest neighbours (Å) after each atom.
Space group P2_1/m (No. 11)
Symmetry-distinct sites (fractional):
1 La 0.2092 0.2500 0.3738  7 Y 3.60-3.69, 2 La 3.62, 3 Pm 3.64-3.68
2 Pm 0.1302 0.7500 0.6327  3 Y 3.56-3.58, 2 Th 3.59, 4 Pm 3.62-3.77, 3 La 3.64-3.68
3 Y 0.0442 0.2500 0.8768  2 Pm 3.58, 7 Y 3.58-3.68, 1 Th 3.61, 2 La 3.65
4 Y 0.2946 0.7500 0.1173  3 Th 3.51-3.53, 7 Y 3.58-3.68, 2 La 3.69
5 Y 0.4594 0.7500 0.6321  1 Pm 3.56, 2 Th 3.56, 3 La 3.60-3.68, 6 Y 3.61-3.74
6 Th 0.3785 0.2500 0.8773  6 Y 3.51-3.61, 4 Th 3.57-3.62, 2 Pm 3.59

Material: La2Pm3Y6Th
Method: DFT, GGA-PBE
State: optimized geometry

Properties
The calculation puts the raw total energy at -5.839 eV/atom. The value obtained for the total magnetization is 0.00 Bohr magnetons per cell. The crystal system is monoclinic. The calculation puts the volume at 401 Å³/f.u.

Cell lengths 6.2994, 10.9060, 11.8528 Å; angles 90.00, 100.19, 90.00 degrees
With the nearest neighbours (Å) after each atom.
Space group C2/m (No. 12)
Symmetry-distinct sites (fractional):
1 La 0.0000 0.1667 0.0000  6 Y 3.59-3.60, 3 Th 3.64, 3 La 3.64
2 Pm 0.0000 0.0000 0.5000  6 Y 3.59-3.62, 6 Pm 3.63-3.64
3 Pm 0.0000 0.3332 0.5000  6 Y 3.59-3.62, 6 Pm 3.63-3.64
4 Y 0.2453 0.5000 0.7509  1 Th 3.57, 6 Y 3.59-3.66, 3 Pm 3.59-3.62, 2 La 3.59
5 Y 0.2478 0.3356 0.2493  1 Th 3.57, 6 Y 3.59-3.66, 3 Pm 3.59-3.62, 2 La 3.59-3.60
6 Th 0.0000 0.5000 0.0000  6 Y 3.57, 6 La 3.64

Material: La2Pm5YTh
Method: DFT, GGA-PBE
State: optimized geometry

Properties
The calculation puts the raw total energy at -5.131 eV/atom. The value obtained for the total magnetization is 0.00 Bohr magnetons per cell. The crystal system is orthorhombic. The calculation puts the volume at 317 Å³/f.u.

Cell lengths 5.7516, 20.6147, 10.6896 Å; angles 90.00, 90.00, 90.00 degrees
With the nearest neighbours (Å) after each atom.
Space group Cmc2_1 (No. 36)
Symmetry-distinct sites (fractional):
1 La 0.0000 0.1154 0.0000  1 Th 3.46, 7 Pm 3.52-3.76, 2 Y 3.79
2 La 0.0000 0.1166 0.5847  8 Pm 3.27-3.64
3 Pm 0.0000 0.0157 0.2887  2 Y 3.36, 3 La 3.49-3.71, 2 Pm 3.74
4 Pm 0.0000 0.2753 0.5813  1 Y 3.11, 1 La 3.27, 2 Pm 3.42
5 Pm 0.0000 0.2941 0.9722  2 Pm 3.42, 1 Y 3.48, 3 Th 3.54-3.81, 3 La 3.62-3.70
6 Pm 0.0000 0.3871 0.2929  6 Pm 3.58-3.93, 4 La 3.63-3.64, 1 Th 3.86
7 Pm 0.0000 0.4815 0.0116  2 Y 3.28-3.41, 2 Pm 3.58, 2 La 3.60
8 Y 0.0000 0.4058 0.7279  6 Pm 3.11-3.48
9 Th 0.0000 0.2001 0.2791  2 La 3.46-3.69, 8 Pm 3.54-3.86, 2 Y 3.65

Number 1: DFT formation energy 30 kJ/mol of atoms. Number 2: DFT formation energy 0 kJ/mol of atoms. Number 3: DFT formation energy 2 kJ/mol of atoms. Number 4: DFT formation energy 35 kJ/mol of atoms. Number 5: DFT formation energy 12 kJ/mol of atoms. Number 6: DFT formation energy 2 kJ/mol of atoms. Number 7: DFT formation energy 5 kJ/mol of atoms. Number 8: DFT formation energy 12 kJ/mol of atoms. Number 9: DFT formation energy 19 kJ/mol of atoms. Number 10: DFT formation energy 3 kJ/mol of atoms. Number 11: DFT formation energy 2 kJ/mol of atoms. Number 12: DFT formation energy 14 kJ/mol of atoms.